Here is CaLa2Ti2Cr2O12 after structural relaxation from the Alexandria database. Energies are from PBE+U.

Geometry as POSCAR:
```
CaLa2Ti2Cr2O12
1.0
5.433 0.000 0.000
0.078 5.460 0.000
0.011 0.053 7.749
Ca La Ti Cr O
1 2 2 2 12
direct
0.000 0.000 0.000
0.493 0.502 0.999
0.995 0.950 0.500
0.494 0.986 0.740
0.992 0.469 0.262
0.497 0.975 0.249
0.993 0.474 0.748
0.051 0.467 0.500
0.218 0.753 0.783
0.224 0.752 0.215
0.273 0.247 0.791
0.282 0.239 0.211
0.447 0.984 0.500
0.563 0.952 0.001
0.727 0.698 0.277
0.734 0.690 0.724
0.792 0.177 0.266
0.793 0.178 0.733
0.943 0.463 0.998
```

- Spin magnetization: 3.97 μB per cell
- SG: No. 1
- E: -153.7 eV/cell